## A
An optimized crystal structure of Na3AsW. Source: Alexandria via LeMat-Bulk, functional PBE.

Geometry as CIF:
```
data_Na3AsW
_space_group_name_H-M_alt 'P 1'
_space_group_IT_number 1
_cell_length_a 5.718
_cell_length_b 5.718
_cell_length_c 5.718
_cell_angle_alpha 90.00
_cell_angle_beta 90.00
_cell_angle_gamma 90.00
loop_
_space_group_symop_operation_xyz
'x,y,z'
loop_
_atom_site_label
_atom_site_type_symbol
_atom_site_fract_x
_atom_site_fract_y
_atom_site_fract_z
Na1 Na 0.500 0.000 0.000
Na2 Na 0.000 0.000 0.500
As1 As 0.500 0.500 0.500
W1 W 0.000 0.000 0.000
Na3 Na 0.000 0.500 0.000
```

V   186.9 Å³ per cell
Theoretical density   2.912 g cm⁻³
Space group   Pm-3m
Total moment   5.48 Bohr magnetons per cell



## B
An optimized crystal structure of Na3AsW. Source: Alexandria via LeMat-Bulk, functional PBE.

Geometry as CIF:
```
data_Na3AsW
_space_group_name_H-M_alt 'P 1'
_space_group_IT_number 1
_cell_length_a 5.509
_cell_length_b 5.509
_cell_length_c 5.509
_cell_angle_alpha 90.00
_cell_angle_beta 90.00
_cell_angle_gamma 90.00
loop_
_space_group_symop_operation_xyz
'x,y,z'
loop_
_atom_site_label
_atom_site_type_symbol
_atom_site_fract_x
_atom_site_fract_y
_atom_site_fract_z
Na1 Na 0.000 0.000 0.500
Na2 Na 0.000 0.500 0.000
Na3 Na 0.500 0.000 0.000
W1 W 0.500 0.500 0.500
As1 As 0.000 0.000 0.000
```

V   167.2 Å³ per cell
Theoretical density   3.255 g cm⁻³
Space group   Pm-3m
Total moment   5.89 Bohr magnetons per cell



Least stable = A



## A
An optimized crystal structure of Na3YAs. Source: Alexandria via LeMat-Bulk, functional PBE.

Geometry as CIF:
```
data_Na3YAs
_space_group_name_H-M_alt 'P 1'
_space_group_IT_number 1
_cell_length_a 6.102
_cell_length_b 6.102
_cell_length_c 6.102
_cell_angle_alpha 90.00
_cell_angle_beta 90.00
_cell_angle_gamma 90.00
loop_
_space_group_symop_operation_xyz
'x,y,z'
loop_
_atom_site_label
_atom_site_type_symbol
_atom_site_fract_x
_atom_site_fract_y
_atom_site_fract_z
Na1 Na 0.000 0.500 0.000
As1 As 0.500 0.500 0.500
Na2 Na 0.000 0.000 0.500
Y1 Y 0.000 0.000 0.000
Na3 Na 0.500 0.000 0.000
```

V   227.2 Å³ per cell
Theoretical density   1.701 g cm⁻³
Space group   Pm-3m
Total moment   1.00 Bohr magnetons per cell



## B
An optimized crystal structure of Na3YAs. Source: Alexandria via LeMat-Bulk, functional PBE.

Geometry as CIF:
```
data_Na3YAs
_space_group_name_H-M_alt 'P 1'
_space_group_IT_number 1
_cell_length_a 5.526
_cell_length_b 5.526
_cell_length_c 5.526
_cell_angle_alpha 90.00
_cell_angle_beta 90.00
_cell_angle_gamma 90.00
loop_
_space_group_symop_operation_xyz
'x,y,z'
loop_
_atom_site_label
_atom_site_type_symbol
_atom_site_fract_x
_atom_site_fract_y
_atom_site_fract_z
Na1 Na 0.000 0.000 0.500
Na2 Na 0.500 0.000 0.000
Y1 Y 0.500 0.500 0.500
Na3 Na 0.000 0.500 0.000
As1 As 0.000 0.000 0.000
```

V   168.8 Å³ per cell
Theoretical density   2.290 g cm⁻³
Space group   Pm-3m
Total moment   1.00 Bohr magnetons per cell



Least stable = A



## A
An optimized crystal structure of NaZn4As3. Source: Alexandria via LeMat-Bulk, functional PBE.

Geometry as CIF:
```
data_NaZn4As3
_space_group_name_H-M_alt 'P 1'
_space_group_IT_number 1
_cell_length_a 11.245
_cell_length_b 11.245
_cell_length_c 11.245
_cell_angle_alpha 21.53
_cell_angle_beta 21.53
_cell_angle_gamma 21.53
loop_
_space_group_symop_operation_xyz
'x,y,z'
loop_
_atom_site_label
_atom_site_type_symbol
_atom_site_fract_x
_atom_site_fract_y
_atom_site_fract_z
Zn1 Zn 0.090 0.090 0.090
As1 As 0.774 0.774 0.774
Zn2 Zn 0.301 0.301 0.301
Zn3 Zn 0.910 0.910 0.910
Na1 Na 0.500 0.500 0.500
Zn4 Zn 0.699 0.699 0.699
As2 As 0.000 0.000 0.000
As3 As 0.226 0.226 0.226
```

V   167.9 Å³ per cell
Theoretical density   5.039 g cm⁻³
Space group   R-3m
Total moment   0.00 Bohr magnetons per cell



## B
An optimized crystal structure of NaZn4As3. Source: Alexandria via LeMat-Bulk, functional PBE.

Geometry as CIF:
```
data_NaZn4As3
_space_group_name_H-M_alt 'P 1'
_space_group_IT_number 1
_cell_length_a 4.139
_cell_length_b 4.139
_cell_length_c 9.979
_cell_angle_alpha 90.00
_cell_angle_beta 90.00
_cell_angle_gamma 90.00
loop_
_space_group_symop_operation_xyz
'x,y,z'
loop_
_atom_site_label
_atom_site_type_symbol
_atom_site_fract_x
_atom_site_fract_y
_atom_site_fract_z
Zn1 Zn 0.500 0.000 0.168
As1 As 0.000 0.000 0.000
As2 As 0.500 0.500 0.687
Zn2 Zn 0.000 0.500 0.168
Na1 Na 0.000 0.000 0.500
As3 As 0.500 0.500 0.313
Zn3 Zn 0.500 0.000 0.832
Zn4 Zn 0.000 0.500 0.832
```

V   171.0 Å³ per cell
Theoretical density   4.948 g cm⁻³
Space group   P4/mmm
Total moment   0.00 Bohr magnetons per cell



Least stable = B



## A
An optimized crystal structure of Na3ZrAs. Source: Alexandria via LeMat-Bulk, functional PBE.

Geometry as CIF:
```
data_Na3ZrAs
_space_group_name_H-M_alt 'P 1'
_space_group_IT_number 1
_cell_length_a 5.461
_cell_length_b 5.461
_cell_length_c 5.461
_cell_angle_alpha 90.00
_cell_angle_beta 90.00
_cell_angle_gamma 90.00
loop_
_space_group_symop_operation_xyz
'x,y,z'
loop_
_atom_site_label
_atom_site_type_symbol
_atom_site_fract_x
_atom_site_fract_y
_atom_site_fract_z
Zr1 Zr 0.500 0.500 0.500
Na1 Na 0.500 0.000 0.000
As1 As 0.000 0.000 0.000
Na2 Na 0.000 0.500 0.000
Na3 Na 0.000 0.000 0.500
```

V   162.8 Å³ per cell
Theoretical density   2.398 g cm⁻³
Space group   Pm-3m
Total moment   3.22 Bohr magnetons per cell



## B
An optimized crystal structure of Na3ZrAs. Source: Alexandria via LeMat-Bulk, functional PBE.

Geometry as CIF:
```
data_Na3ZrAs
_space_group_name_H-M_alt 'P 1'
_space_group_IT_number 1
_cell_length_a 5.927
_cell_length_b 5.927
_cell_length_c 5.927
_cell_angle_alpha 90.00
_cell_angle_beta 90.00
_cell_angle_gamma 90.00
loop_
_space_group_symop_operation_xyz
'x,y,z'
loop_
_atom_site_label
_atom_site_type_symbol
_atom_site_fract_x
_atom_site_fract_y
_atom_site_fract_z
Na1 Na 0.000 0.500 0.000
Na2 Na 0.500 0.000 0.000
As1 As 0.500 0.500 0.500
Zr1 Zr 0.000 0.000 0.000
Na3 Na 0.000 0.000 0.500
```

V   208.2 Å³ per cell
Theoretical density   1.875 g cm⁻³
Space group   Pm-3m
Total moment   2.10 Bohr magnetons per cell



Least stable = B



## A
An optimized crystal structure of NbNi3As. Source: Alexandria via LeMat-Bulk, functional PBE.

Geometry as CIF:
```
data_NbNi3As
_space_group_name_H-M_alt 'P 1'
_space_group_IT_number 1
_cell_length_a 4.537
_cell_length_b 4.537
_cell_length_c 4.537
_cell_angle_alpha 90.00
_cell_angle_beta 90.00
_cell_angle_gamma 90.00
loop_
_space_group_symop_operation_xyz
'x,y,z'
loop_
_atom_site_label
_atom_site_type_symbol
_atom_site_fract_x
_atom_site_fract_y
_atom_site_fract_z
Ni1 Ni 0.000 0.500 0.000
Ni2 Ni 0.000 0.000 0.500
Ni3 Ni 0.500 0.000 0.000
Nb1 Nb 0.000 0.000 0.000
As1 As 0.500 0.500 0.500
```

V   93.4 Å³ per cell
Theoretical density   6.114 g cm⁻³
Space group   Pm-3m
Total moment   0.00 Bohr magnetons per cell



## B
An optimized crystal structure of NbNi3As. Source: Alexandria via LeMat-Bulk, functional PBE.

Geometry as CIF:
```
data_NbNi3As
_space_group_name_H-M_alt 'P 1'
_space_group_IT_number 1
_cell_length_a 4.280
_cell_length_b 4.280
_cell_length_c 4.280
_cell_angle_alpha 90.00
_cell_angle_beta 90.00
_cell_angle_gamma 90.00
loop_
_space_group_symop_operation_xyz
'x,y,z'
loop_
_atom_site_label
_atom_site_type_symbol
_atom_site_fract_x
_atom_site_fract_y
_atom_site_fract_z
Nb1 Nb 0.500 0.500 0.500
Ni1 Ni 0.000 0.500 0.000
Ni2 Ni 0.500 0.000 0.000
Ni3 Ni 0.000 0.000 0.500
As1 As 0.000 0.000 0.000
```

V   78.4 Å³ per cell
Theoretical density   7.286 g cm⁻³
Space group   Pm-3m
Total moment   1.66 Bohr magnetons per cell



Least stable = A



## A
An optimized crystal structure of Nb2AsO2. Source: Alexandria via LeMat-Bulk, functional PBE.

Geometry as CIF:
```
data_Nb2AsO2
_space_group_name_H-M_alt 'P 1'
_space_group_IT_number 1
_cell_length_a 4.102
_cell_length_b 4.102
_cell_length_c 5.071
_cell_angle_alpha 66.15
_cell_angle_beta 66.15
_cell_angle_gamma 90.00
loop_
_space_group_symop_operation_xyz
'x,y,z'
loop_
_atom_site_label
_atom_site_type_symbol
_atom_site_fract_x
_atom_site_fract_y
_atom_site_fract_z
Nb1 Nb 0.750 0.250 0.500
Nb2 Nb 0.250 0.750 0.500
O1 O 0.335 0.335 0.329
As1 As 0.000 0.000 0.000
O2 O 0.665 0.665 0.671
```

V   70.0 Å³ per cell
Theoretical density   6.946 g cm⁻³
Space group   I4/mmm
Total moment   0.00 Bohr magnetons per cell



## B
An optimized crystal structure of Nb2AsO2. Source: Alexandria via LeMat-Bulk, functional PBE.

Geometry as CIF:
```
data_Nb2AsO2
_space_group_name_H-M_alt 'P 1'
_space_group_IT_number 1
_cell_length_a 6.691
_cell_length_b 6.691
_cell_length_c 2.743
_cell_angle_alpha 90.00
_cell_angle_beta 90.00
_cell_angle_gamma 90.00
loop_
_space_group_symop_operation_xyz
'x,y,z'
loop_
_atom_site_label
_atom_site_type_symbol
_atom_site_fract_x
_atom_site_fract_y
_atom_site_fract_z
As1 As 0.500 0.500 0.000
O1 O 0.879 0.621 0.000
As2 As 0.000 0.000 0.000
Nb1 Nb 0.829 0.329 0.500
Nb2 Nb 0.671 0.829 0.500
Nb3 Nb 0.171 0.671 0.500
O2 O 0.379 0.879 0.000
O3 O 0.621 0.121 0.000
Nb4 Nb 0.329 0.171 0.500
O4 O 0.121 0.379 0.000
```

V   122.8 Å³ per cell
Theoretical density   7.918 g cm⁻³
Space group   P4/mbm
Total moment   0.00 Bohr magnetons per cell



Least stable = B